The following is a DFT calculation (PBE+U) of a relaxed structure of KTl2Cr2O7.

energy = -5.863 eV/atom
space group = R32, No. 155

Cell lengths 8.6851, 8.6851, 8.6851 Å; angles 40.44, 40.44, 40.44 degrees
Positions (direct):
K  0.0000  0.0000  0.0000
Tl  0.2045  0.2045  0.2045
Tl  0.7955  0.7955  0.7955
Cr  0.4253  0.4253  0.4253
Cr  0.5747  0.5747  0.5747
O  0.1289  0.4248  0.6593
O  0.3407  0.5752  0.8711
O  0.4248  0.6593  0.1289
O  0.5000  0.5000  0.5000
O  0.5752  0.8711  0.3407
O  0.6593  0.1289  0.4248
O  0.8711  0.3407  0.5752

=====

The following is a DFT calculation (PBE+U) of a relaxed structure of K3Tm2CrO6.

energy = -6.566 eV/atom
space group = C2/m, No. 12

Cell lengths 5.7475, 5.7475, 6.4789 Å; angles 98.48, 98.48, 120.00 degrees
Positions (direct):
K  0.0000  0.0000  0.0000
K  0.3363  0.6637  0.0000
K  0.6637  0.3363  0.0000
Tm  0.1668  0.8332  0.5000
Tm  0.8332  0.1668  0.5000
Cr  0.5000  0.5000  0.5000
O  0.1244  0.4400  0.3199
O  0.2441  0.2441  0.6797
O  0.4400  0.1244  0.3199
O  0.5600  0.8756  0.6801
O  0.7559  0.7559  0.3203
O  0.8756  0.5600  0.6801

=====

The following is a DFT calculation (PBE+U) of a relaxed structure of KTmCr2O8.

energy = -6.930 eV/atom
space group = P-3, No. 147

Cell lengths 5.7375, 5.7375, 7.6395 Å; angles 90.00, 90.00, 120.00 degrees
Positions (direct):
K  0.0000  0.0000  0.0000
Tm  0.0000  0.0000  0.5000
Cr  0.3333  0.6667  0.7522
Cr  0.6667  0.3333  0.2478
O  0.1718  0.3470  0.6807
O  0.1752  0.8282  0.6807
O  0.3333  0.6667  0.9641
O  0.3470  0.1752  0.3193
O  0.6530  0.8248  0.6807
O  0.6667  0.3333  0.0359
O  0.8248  0.1718  0.3193
O  0.8282  0.6530  0.3193

=====

The following is a DFT calculation (PBE+U) of a relaxed structure of KTmCrO4.

energy = -7.002 eV/atom
space group = P2_1/m, No. 11

Cell lengths 5.7803, 5.8417, 7.3871 Å; angles 90.00, 108.55, 90.00 degrees
Positions (direct):
K  0.1982  0.2500  0.4356
K  0.8018  0.7500  0.5644
Tm  0.3127  0.2500  0.9606
Tm  0.6873  0.7500  0.0394
Cr  0.2290  0.7500  0.1616
Cr  0.7710  0.2500  0.8384
O  0.0170  0.7500  0.9307
O  0.0317  0.7500  0.3026
O  0.4573  0.5238  0.1747
O  0.4573  0.9762  0.1747
O  0.5427  0.0238  0.8253
O  0.5427  0.4762  0.8253
O  0.9683  0.2500  0.6974
O  0.9830  0.2500  0.0693

=====

The following is a DFT calculation (PBE+U) of a relaxed structure of K4U3CrO12.

energy = -7.922 eV/atom
space group = Im-3m, No. 229

Cell lengths 7.3239, 7.3239, 7.3239 Å; angles 109.47, 109.47, 109.47 degrees
Positions (direct):
K  0.0000  0.0000  0.5000
K  0.0000  0.5000  0.0000
K  0.5000  0.0000  0.0000
K  0.5000  0.5000  0.5000
U  0.0000  0.5000  0.5000
U  0.5000  0.0000  0.5000
U  0.5000  0.5000  0.0000
Cr  0.0000  0.0000  0.0000
O  0.0000  0.2541  0.2541
O  0.0000  0.7459  0.7459
O  0.2500  0.5000  0.7500
O  0.2500  0.7500  0.5000
O  0.2541  0.0000  0.2541
O  0.2541  0.2541  0.0000
O  0.5000  0.2500  0.7500
O  0.5000  0.7500  0.2500
O  0.7459  0.0000  0.7459
O  0.7459  0.7459  0.0000
O  0.7500  0.2500  0.5000
O  0.7500  0.5000  0.2500

=====

The following is a DFT calculation (PBE+U) of a relaxed structure of KUCr2O8.

energy = -7.577 eV/atom
space group = C2/m, No. 12

Cell lengths 5.2675, 5.2675, 7.4508 Å; angles 103.71, 103.71, 72.65 degrees
Positions (direct):
K  0.0000  0.0000  0.0000
U  0.0000  0.0000  0.5000
Cr  0.4567  0.4567  0.8004
Cr  0.5433  0.5433  0.1996
O  0.2321  0.2321  0.5908
O  0.2458  0.7456  0.7103
O  0.2544  0.7542  0.2897
O  0.3537  0.3537  0.9789
O  0.6463  0.6463  0.0211
O  0.7456  0.2458  0.7103
O  0.7542  0.2544  0.2897
O  0.7679  0.7679  0.4092